The following is a PBE calculation of BTeN3 after structural relaxation, from Alexandria.

Unit cell a=3.9566 b=3.9566 c=3.9566 alpha=90.00 beta=90.00 gamma=90.00
Last column: nearest neighbours and their distance in Å.
Fractional coordinates of all 5 atoms:
Te: 0.0000 0.0000 0.0000  6 N 1.98
N: 0.5000 0.0000 0.0000  2 Te 1.98
N: 0.0000 0.5000 0.0000  2 Te 1.98
N: 0.0000 0.0000 0.5000  2 Te 1.98
B: 0.5000 0.5000 0.5000  12 N 2.80

Output
M_tot = 0.00 μB/f.u.
energy relative to the elements, uncorrected = 13.02 eV/f.u.
DOS at the Fermi energy = 2.618 states/eV/cell


The following is a PBE calculation of B2TeN2 after structural relaxation, from Alexandria.

Unit cell a=10.8395 b=10.8395 c=2.6375 alpha=90.00 beta=90.00 gamma=90.00
Last column: nearest neighbours and their distance in Å.
Fractional coordinates of all 10 atoms:
N: 0.3659 0.1341 0.0000  2 B 1.32
N: 0.8659 0.3659 0.0000  2 B 1.32
N: 0.6341 0.8659 0.0000  2 B 1.32
N: 0.1341 0.6341 0.0000  2 B 1.32
B: 0.8659 0.3659 0.5000  2 N 1.32
B: 0.6341 0.8659 0.5000  2 N 1.32
B: 0.3659 0.1341 0.5000  2 N 1.32
B: 0.1341 0.6341 0.5000  2 N 1.32
Te: 0.0000 0.0000 0.0000  2 Te 2.64
Te: 0.5000 0.5000 0.0000  2 Te 2.64

Output
M_tot = 0.00 μB/f.u.
energy relative to the elements, uncorrected = -1.23 eV/f.u.
DOS at the Fermi energy = 1.914 states/eV/cell
E above lowest polymorph = 0 meV per atom


The following is a PBE calculation of B6TeN6 after structural relaxation, from Alexandria.

Unit cell a=4.7050 b=4.7050 c=4.7050 alpha=90.00 beta=90.00 gamma=90.00
Last column: nearest neighbours and their distance in Å.
Fractional coordinates of all 13 atoms:
B: 0.0000 0.5000 0.2542  4 N 1.65-1.67
B: 0.5000 0.2542 0.0000  4 N 1.65-1.67
B: 0.2542 0.0000 0.5000  4 N 1.65-1.67
B: 0.0000 0.5000 0.7458  4 N 1.65-1.67
B: 0.5000 0.7458 0.0000  4 N 1.65-1.67
B: 0.7458 0.0000 0.5000  4 N 1.65-1.67
N: 0.0000 0.7575 0.5000  4 B 1.65-1.67
N: 0.7575 0.5000 0.0000  4 B 1.65-1.67
N: 0.2425 0.5000 0.0000  4 B 1.65-1.67
N: 0.5000 0.0000 0.7575  4 B 1.65-1.67
N: 0.5000 0.0000 0.2425  4 B 1.65-1.67
N: 0.0000 0.2425 0.5000  4 B 1.65-1.67
Te: 0.5000 0.5000 0.5000  12 B 2.62, 12 N 2.65

Output
M_tot = 0.00 μB/f.u.
energy relative to the elements, uncorrected = 0.49 eV/f.u.
DOS at the Fermi energy = 4.556 states/eV/cell


The following is a PBE calculation of TlBTe2N after structural relaxation, from Alexandria.

Unit cell a=6.9096 b=6.9096 c=2.7835 alpha=90.00 beta=90.00 gamma=90.00
Last column: nearest neighbours and their distance in Å.
Fractional coordinates of all 5 atoms:
Tl: 0.5000 0.5000 0.5000  2 Tl 2.78
Te: 0.0000 0.5000 0.0000  2 Te 2.78
Te: 0.5000 0.0000 0.0000  2 Te 2.78
N: 0.0000 0.0000 0.5000  2 B 1.39
B: 0.0000 0.0000 0.0000  2 N 1.39

Output
M_tot = 0.00 μB/f.u.
energy relative to the elements, uncorrected = 0.42 eV/f.u.
DOS at the Fermi energy = 3.092 states/eV/cell
E above lowest polymorph = 0 meV per atom


The following is a PBE calculation of TlBTe2N after structural relaxation, from Alexandria.

Unit cell a=5.9323 b=5.9323 c=4.2375 alpha=90.00 beta=90.00 gamma=90.00
Last column: nearest neighbours and their distance in Å.
Fractional coordinates of all 5 atoms:
Te: 0.0000 0.5000 0.0000  2 Tl 2.97
Te: 0.5000 0.0000 0.0000  2 Tl 2.97
Tl: 0.0000 0.0000 0.0000  2 N 2.12
B: 0.5000 0.5000 0.5000  8 Te 3.65
N: 0.0000 0.0000 0.5000  2 Tl 2.12

Output
M_tot = 2.33 μB/f.u.
energy relative to the elements, uncorrected = 10.11 eV/f.u.
DOS at the Fermi energy = 4.298 states/eV/cell
E above lowest polymorph = 1938 meV per atom


The following is a PBE calculation of VBTe2N after structural relaxation, from Alexandria.

Unit cell a=5.5928 b=5.5928 c=2.8085 alpha=90.00 beta=90.00 gamma=90.00
Last column: nearest neighbours and their distance in Å.
Fractional coordinates of all 5 atoms:
V: 0.5000 0.5000 0.5000  2 V 2.81, 8 Te 3.13
N: 0.0000 0.0000 0.5000  2 B 1.40
Te: 0.5000 0.0000 0.0000  2 B 2.80, 2 Te 2.81, 4 N 3.13, 4 V 3.13
Te: 0.0000 0.5000 0.0000  2 B 2.80, 2 Te 2.81, 4 N 3.13, 4 V 3.13
B: 0.0000 0.0000 0.0000  2 N 1.40

Output
M_tot = 0.39 μB/f.u.
energy relative to the elements, uncorrected = 2.63 eV/f.u.
DOS at the Fermi energy = 6.140 states/eV/cell
E above lowest polymorph = 0 meV per atom


The following is a PBE calculation of VBTeN2 after structural relaxation, from Alexandria.

Unit cell a=3.6768 b=3.6768 c=5.6770 alpha=90.00 beta=90.00 gamma=90.00
Last column: nearest neighbours and their distance in Å.
Fractional coordinates of all 5 atoms:
N: 0.5000 0.0000 0.0000  2 V 1.84
N: 0.0000 0.5000 0.0000  2 V 1.84
B: 0.5000 0.5000 0.5000  4 Te 2.60
V: 0.0000 0.0000 0.0000  4 N 1.84
Te: 0.0000 0.0000 0.5000  4 B 2.60, 2 V 2.84

Output
M_tot = 0.33 μB/f.u.
energy relative to the elements, uncorrected = 4.60 eV/f.u.
DOS at the Fermi energy = 1.417 states/eV/cell
E above lowest polymorph = 0 meV per atom


The following is a PBE calculation of VBTeN2 after structural relaxation, from Alexandria.

Unit cell a=3.4455 b=3.4455 c=6.3401 alpha=90.00 beta=90.00 gamma=90.00
Last column: nearest neighbours and their distance in Å.
Fractional coordinates of all 5 atoms:
N: 0.5000 0.0000 0.0000  2 B 1.72
N: 0.0000 0.5000 0.0000  2 B 1.72
B: 0.0000 0.0000 0.0000  4 N 1.72
V: 0.5000 0.5000 0.5000  4 Te 2.44
Te: 0.0000 0.0000 0.5000  4 V 2.44

Output
M_tot = 2.02 μB/f.u.
energy relative to the elements, uncorrected = 7.58 eV/f.u.
DOS at the Fermi energy = 3.434 states/eV/cell
E above lowest polymorph = 597 meV per atom


The following is a PBE calculation of VBTe2N after structural relaxation, from Alexandria.

Unit cell a=5.3120 b=5.3120 c=3.5943 alpha=90.00 beta=90.00 gamma=90.00
Last column: nearest neighbours and their distance in Å.
Fractional coordinates of all 5 atoms:
Te: 0.0000 0.5000 0.0000  2 V 2.66
Te: 0.5000 0.0000 0.0000  2 V 2.66
V: 0.0000 0.0000 0.0000  2 N 1.80
B: 0.5000 0.5000 0.5000  8 Te 3.21
N: 0.0000 0.0000 0.5000  2 V 1.80

Output
M_tot = 0.01 μB/f.u.
energy relative to the elements, uncorrected = 4.40 eV/f.u.
DOS at the Fermi energy = 3.591 states/eV/cell
E above lowest polymorph = 354 meV per atom


The following is a PBE calculation of BTeWN2 after structural relaxation, from Alexandria.

Unit cell a=3.7848 b=3.7848 c=4.4981 alpha=90.00 beta=90.00 gamma=90.00
Last column: nearest neighbours and their distance in Å.
Fractional coordinates of all 5 atoms:
Te: 0.0000 0.0000 0.5000  2 B 2.25
N: 0.0000 0.5000 0.0000  2 B 1.89
N: 0.5000 0.0000 0.0000  2 B 1.89
W: 0.5000 0.5000 0.5000  4 Te 2.68, 8 N 2.94
B: 0.0000 0.0000 0.0000  4 N 1.89

Output
M_tot = 0.56 μB/f.u.
energy relative to the elements, uncorrected = 10.63 eV/f.u.
DOS at the Fermi energy = 2.313 states/eV/cell
E above lowest polymorph = 1102 meV per atom


The following is a PBE calculation of BTe2WN after structural relaxation, from Alexandria.

Unit cell a=5.6217 b=5.6217 c=2.8020 alpha=90.00 beta=90.00 gamma=90.00
Last column: nearest neighbours and their distance in Å.
Fractional coordinates of all 5 atoms:
N: 0.0000 0.0000 0.5000  2 B 1.40
W: 0.5000 0.5000 0.5000  2 W 2.80
Te: 0.5000 0.0000 0.0000  2 Te 2.80, 2 B 2.81
Te: 0.0000 0.5000 0.0000  2 Te 2.80, 2 B 2.81
B: 0.0000 0.0000 0.0000  2 N 1.40

Output
M_tot = 1.09 μB/f.u.
energy relative to the elements, uncorrected = 4.12 eV/f.u.
DOS at the Fermi energy = 4.042 states/eV/cell
E above lowest polymorph = 0 meV per atom


The following is a PBE calculation of BTeWN2 after structural relaxation, from Alexandria.

Unit cell a=3.8579 b=3.8579 c=5.7121 alpha=90.00 beta=90.00 gamma=90.00
Last column: nearest neighbours and their distance in Å.
Fractional coordinates of all 5 atoms:
W: 0.0000 0.0000 0.0000  4 N 1.93
Te: 0.0000 0.0000 0.5000  4 B 2.73, 2 W 2.86
N: 0.5000 0.0000 0.0000  2 W 1.93
N: 0.0000 0.5000 0.0000  2 W 1.93
B: 0.5000 0.5000 0.5000  4 Te 2.73

Output
M_tot = 0.00 μB/f.u.
energy relative to the elements, uncorrected = 5.12 eV/f.u.
DOS at the Fermi energy = 1.322 states/eV/cell
E above lowest polymorph = 0 meV per atom


Q: Which value of energy relative to the elements, uncorrected does entry 5 give?
A: 10.11 eV/f.u.


Q: Look up the M_tot of the second one.
A: 0.00 μB/f.u.


Q: Which of these has the lowest energy relative to the elements, uncorrected?
A: B2TeN2